# 1
4
Lattice="-3.278 3.851 -0.721 0.103 -3.083 -4.071 -2.090 -1.567 1.134" Properties=species:S:1:pos:R:3 comment="GGA-PBE ReAsCl2, relaxed" crystal_system=orthorhombic e_above_lowest_polymorph_mev_per_atom=1273 raw_formation_energy_mev_per_atom=1184 total_energy_ha_per_atom=-0.14750 pbc="T T T"
Cl 0.000 0.000 0.000
Cl -1.587 0.384 -2.396
Re -2.684 1.142 0.206
As -0.993 -2.325 -1.469

***

# 2
4
Lattice="2.956 0.000 0.000 0.000 5.362 0.000 0.000 0.000 4.479" Properties=species:S:1:pos:R:3 comment="GGA-PBE ReAsCl2, relaxed" crystal_system=orthorhombic e_above_lowest_polymorph_mev_per_atom=956 raw_formation_energy_mev_per_atom=867 total_energy_ha_per_atom=-0.15914 pbc="T T T"
Cl 0.000 0.000 0.000
Cl 1.478 2.681 0.000
As 0.000 2.681 2.239
Re 1.478 0.000 2.239

***

# 3
4
Lattice="-2.599 0.638 -1.625 -0.405 -3.055 -0.552 -3.593 -0.524 5.538" Properties=species:S:1:pos:R:3 comment="GGA-PBE Re2AsCl, relaxed" crystal_system=tetragonal e_above_lowest_polymorph_mev_per_atom=875 raw_formation_energy_mev_per_atom=874 total_energy_ha_per_atom=-0.25630 pbc="T T T"
Re -1.611 -0.235 2.483
Re -0.185 -0.027 0.285
As -2.400 -1.340 0.296
Cl -4.196 -1.602 3.065

***

# 4
4
Lattice="2.839 0.000 0.000 0.000 5.375 0.000 0.000 0.000 4.212" Properties=species:S:1:pos:R:3 comment="GGA-PBE Re2AsCl, relaxed" crystal_system=orthorhombic e_above_lowest_polymorph_mev_per_atom=1022 raw_formation_energy_mev_per_atom=1022 total_energy_ha_per_atom=-0.25087 pbc="T T T"
Re 0.000 0.000 0.000
Re 1.420 2.688 0.000
As 1.420 0.000 2.106
Cl 0.000 2.688 2.106

***

# 5
4
Lattice="-3.721 0.307 -2.884 -1.200 -0.248 -4.556 -2.437 -7.036 -1.340" Properties=species:S:1:pos:R:3 comment="GGA-PBE ReAsCl2, relaxed" crystal_system=monoclinic e_above_lowest_polymorph_mev_per_atom=37 raw_formation_energy_mev_per_atom=-52 total_energy_ha_per_atom=-0.19292 pbc="T T T"
As -1.795 -2.628 -1.834
Cl -0.279 -0.712 -0.184
Cl -5.805 -4.514 -7.256
Re -3.158 -2.612 -3.896

***

# 6
4
Lattice="-1.625 2.409 -0.468 -2.050 -1.018 1.877 3.218 3.677 7.754" Properties=species:S:1:pos:R:3 comment="GGA-PBE Re2AsCl, relaxed" crystal_system=monoclinic e_above_lowest_polymorph_mev_per_atom=0 raw_formation_energy_mev_per_atom=-1 total_energy_ha_per_atom=-0.28845 pbc="T T T"
Re -1.502 -0.668 1.780
Re -0.518 1.811 1.864
Cl 0.021 3.339 7.862
As 0.076 0.896 4.351

***

# 7
4
Lattice="-8.559 2.766 4.690 -9.700 2.138 2.064 -9.306 0.007 4.038" Properties=species:S:1:pos:R:3 comment="GGA-PBE Re2AsCl, relaxed" crystal_system=trigonal e_above_lowest_polymorph_mev_per_atom=160 raw_formation_energy_mev_per_atom=159 total_energy_ha_per_atom=-0.28258 pbc="T T T"
Re -7.097 1.264 2.778
Re -27.417 4.884 10.734
Cl -19.966 3.557 7.817
As -14.433 2.571 5.650

***

# 8
4
Lattice="3.090 0.000 0.000 0.000 6.381 0.177 0.000 2.800 5.904" Properties=species:S:1:pos:R:3 comment="GGA-PBE ReAsCl2, relaxed" crystal_system=monoclinic e_above_lowest_polymorph_mev_per_atom=0 raw_formation_energy_mev_per_atom=-89 total_energy_ha_per_atom=-0.19427 pbc="T T T"
As 1.545 5.918 3.812
Re 0.000 4.071 3.623
Cl 0.000 3.172 5.686
Cl 1.545 3.411 1.904

***

# 9
4
Lattice="5.220 -0.007 0.004 1.688 4.939 -0.004 -2.467 -3.848 2.521" Properties=species:S:1:pos:R:3 comment="GGA-PBE Re2AsCl, relaxed" crystal_system=orthorhombic e_above_lowest_polymorph_mev_per_atom=968 raw_formation_energy_mev_per_atom=967 total_energy_ha_per_atom=-0.25288 pbc="T T T"
Re 6.841 4.885 0.000
Re 3.520 2.513 0.000
Cl 1.337 1.779 1.258
As 3.103 -0.695 1.262

***

# 10
4
Lattice="-0.814 1.702 2.397 0.901 -2.828 2.315 7.975 3.008 0.570" Properties=species:S:1:pos:R:3 comment="GGA-PBE ReAsCl2, relaxed" crystal_system=orthorhombic e_above_lowest_polymorph_mev_per_atom=152 raw_formation_energy_mev_per_atom=63 total_energy_ha_per_atom=-0.18868 pbc="T T T"
Re 5.339 2.014 0.382
Cl 7.429 2.802 0.532
Cl 2.583 0.395 2.537
As 4.673 1.183 2.687

***

# 11
4
Lattice="2.916 -0.006 0.000 -1.479 2.513 0.000 0.000 0.000 10.022" Properties=species:S:1:pos:R:3 comment="GGA-PBE Re2AsCl, relaxed" crystal_system=orthorhombic e_above_lowest_polymorph_mev_per_atom=451 raw_formation_energy_mev_per_atom=450 total_energy_ha_per_atom=-0.27188 pbc="T T T"
Re 0.718 1.253 2.295
Re 0.000 0.000 0.122
Cl 0.718 1.253 8.120
As 0.000 0.000 4.496

***

# 12
4
Lattice="4.644 -0.015 0.000 0.807 4.574 0.000 -2.726 -2.279 2.991" Properties=species:S:1:pos:R:3 comment="GGA-PBE Re2AsCl, relaxed" crystal_system=tetragonal e_above_lowest_polymorph_mev_per_atom=1071 raw_formation_energy_mev_per_atom=1070 total_energy_ha_per_atom=-0.24908 pbc="T T T"
Re 0.000 0.000 0.000
Re 0.403 2.287 1.495
Cl 2.322 -0.008 1.495
As 2.726 2.279 0.000

***

# 13
4
Lattice="3.198 0.000 0.000 0.000 3.117 0.340 0.000 -0.750 6.814" Properties=species:S:1:pos:R:3 comment="GGA-PBE Re2AsCl, relaxed" crystal_system=orthorhombic e_above_lowest_polymorph_mev_per_atom=666 raw_formation_energy_mev_per_atom=665 total_energy_ha_per_atom=-0.26398 pbc="T T T"
Re 0.000 2.011 3.226
Re 0.000 2.289 0.691
As 1.599 0.592 1.788
Cl 1.599 1.775 5.365

***

# 14
4
Lattice="3.208 0.001 0.000 -1.647 2.753 0.000 0.000 0.000 9.298" Properties=species:S:1:pos:R:3 comment="GGA-PBE ReAsCl2, relaxed" crystal_system=orthorhombic e_above_lowest_polymorph_mev_per_atom=469 raw_formation_energy_mev_per_atom=380 total_energy_ha_per_atom=-0.17704 pbc="T T T"
Re 0.000 0.000 4.830
As 0.781 1.377 6.698
Cl 0.781 1.377 2.922
Cl 0.000 0.000 8.795

***

# 15
4
Lattice="-2.548 -1.241 0.675 1.313 -1.568 2.075 -1.611 6.555 5.974" Properties=species:S:1:pos:R:3 comment="GGA-PBE Re2AsCl, relaxed" crystal_system=tetragonal e_above_lowest_polymorph_mev_per_atom=101 raw_formation_energy_mev_per_atom=100 total_energy_ha_per_atom=-0.28474 pbc="T T T"
Re -0.968 0.021 2.674
Re -0.047 0.192 0.175
Cl -1.968 4.091 6.383
As -0.668 2.719 2.478

***

# 16
4
Lattice="4.627 0.000 0.000 2.313 4.007 0.000 2.313 1.336 3.778" Properties=species:S:1:pos:R:3 comment="GGA-PBE ReAsCl2, relaxed" crystal_system=cubic e_above_lowest_polymorph_mev_per_atom=931 raw_formation_energy_mev_per_atom=843 total_energy_ha_per_atom=-0.16005 pbc="T T T"
Cl 2.313 1.336 0.944
Cl 0.000 0.000 0.000
Re 6.940 4.007 2.833
As 4.627 2.671 1.889

***

# 17
4
Lattice="-6.235 -1.986 2.896 -6.042 -2.818 -2.601 7.001 0.295 1.451" Properties=species:S:1:pos:R:3 comment="GGA-PBE ReAsCl2, relaxed" crystal_system=orthorhombic e_above_lowest_polymorph_mev_per_atom=426 raw_formation_energy_mev_per_atom=337 total_energy_ha_per_atom=-0.17861 pbc="T T T"
Re -6.138 -2.402 0.147
Cl -12.252 -4.794 0.294
Cl -1.514 -1.588 2.219
As -3.789 -2.932 -0.473

***

# 18
4
Lattice="6.095 0.065 -0.006 3.936 4.655 0.006 -4.622 -3.196 2.362" Properties=species:S:1:pos:R:3 comment="GGA-PBE Re2AsCl, relaxed" crystal_system=orthorhombic e_above_lowest_polymorph_mev_per_atom=759 raw_formation_energy_mev_per_atom=758 total_energy_ha_per_atom=-0.26055 pbc="T T T"
As 5.370 2.527 0.000
Re 3.396 -0.314 1.178
Re 9.638 4.535 0.000
Cl 2.051 1.856 1.184

***

# 19
3
Lattice="7.238 1.756 -0.312 4.962 5.554 0.312 -5.939 -3.923 2.214" Properties=species:S:1:pos:R:3 comment="GGA-PBE ReAsCl, relaxed" crystal_system=tetragonal e_above_lowest_polymorph_mev_per_atom=91 raw_formation_energy_mev_per_atom=233 total_energy_ha_per_atom=-0.22349 pbc="T T T"
As -4.602 -3.121 2.214
Re 6.390 3.829 0.000
Cl 4.472 2.679 0.000

***

# 20
5
Lattice="-3.422 -3.139 0.608 2.784 -3.363 -1.693 1.572 -0.876 4.323" Properties=species:S:1:pos:R:3 comment="GGA-PBE ReAs3Cl, relaxed" crystal_system=cubic e_above_lowest_polymorph_mev_per_atom=1343 raw_formation_energy_mev_per_atom=1735 total_energy_ha_per_atom=-0.14382 pbc="T T T"
As 0.786 -0.438 2.162
As -1.711 -1.569 0.304
As 1.392 -1.681 -0.847
Re 0.467 -3.689 1.619
Cl 0.000 0.000 0.000

***

# 21
3
Lattice="8.222 0.055 -0.034 7.373 2.945 -0.041 0.849 -1.328 2.567" Properties=species:S:1:pos:R:3 comment="GGA-PBE ReAsCl, relaxed" crystal_system=orthorhombic e_above_lowest_polymorph_mev_per_atom=245 raw_formation_energy_mev_per_atom=388 total_energy_ha_per_atom=-0.21782 pbc="T T T"
Re 10.697 1.562 0.803
As 1.408 -1.164 2.466
Cl 5.189 -0.054 1.789

***

# 22
4
Lattice="0.357 -2.265 3.917 -1.628 1.816 3.828 -3.702 -1.758 1.950" Properties=species:S:1:pos:R:3 comment="GGA-PBE ReAsCl2, relaxed" crystal_system=cubic e_above_lowest_polymorph_mev_per_atom=1343 raw_formation_energy_mev_per_atom=1255 total_energy_ha_per_atom=-0.14491 pbc="T T T"
Cl -1.244 -0.552 2.424
Cl -3.731 -1.655 7.271
Re -2.487 -1.103 4.848
As 0.000 0.000 0.000

***

# 23
8
Lattice="-2.808 2.318 7.896 -5.594 -6.656 -0.036 -2.548 -3.564 4.927" Properties=species:S:1:pos:R:3 comment="GGA-PBE ReAsCl2, relaxed" crystal_system=tetragonal e_above_lowest_polymorph_mev_per_atom=284 raw_formation_energy_mev_per_atom=195 total_energy_ha_per_atom=-0.18385 pbc="T T T"
Cl -4.429 -0.716 10.604
Cl -6.912 -2.758 9.020
Cl -3.473 0.041 7.234
Cl -4.303 -3.396 6.648
Re 0.000 0.000 0.000
Re -4.779 -1.707 8.377
As -4.201 -2.169 3.930
As -6.172 -6.195 4.411

***

# 24
4
Lattice="4.220 0.000 0.000 0.000 4.074 0.000 0.000 0.000 4.074" Properties=species:S:1:pos:R:3 comment="GGA-PBE ReAsCl2, relaxed" crystal_system=tetragonal e_above_lowest_polymorph_mev_per_atom=1362 raw_formation_energy_mev_per_atom=1273 total_energy_ha_per_atom=-0.14424 pbc="T T T"
Cl 0.000 2.037 2.037
Cl 0.000 0.000 0.000
Re 2.110 2.037 0.000
As 2.110 0.000 2.037

***

# 25
4
Lattice="3.015 0.000 0.000 0.000 3.015 0.000 0.000 0.000 8.560" Properties=species:S:1:pos:R:3 comment="GGA-PBE ReAsCl2, relaxed" crystal_system=tetragonal e_above_lowest_polymorph_mev_per_atom=379 raw_formation_energy_mev_per_atom=290 total_energy_ha_per_atom=-0.18034 pbc="T T T"
Cl 0.000 0.000 8.284
Cl 1.507 1.507 2.788
Re 0.000 0.000 4.383
As 1.507 1.507 5.944

***

# 26
4
Lattice="4.204 -0.276 0.467 3.374 2.523 0.467 0.937 0.278 8.007" Properties=species:S:1:pos:R:3 comment="GGA-PBE Re2AsCl, relaxed" crystal_system=monoclinic e_above_lowest_polymorph_mev_per_atom=209 raw_formation_energy_mev_per_atom=208 total_energy_ha_per_atom=-0.28076 pbc="T T T"
As 3.643 1.080 5.311
Re 6.771 2.008 8.183
Re 1.334 0.396 6.304
Cl 1.959 0.581 1.623

***

# 27
5
Lattice="4.844 0.000 0.000 0.000 4.844 0.000 0.000 0.000 4.844" Properties=species:S:1:pos:R:3 comment="GGA-PBE ReAs3Cl, relaxed" crystal_system=cubic e_above_lowest_polymorph_mev_per_atom=0 raw_formation_energy_mev_per_atom=392 total_energy_ha_per_atom=-0.19318 pbc="T T T"
Cl 2.422 2.422 2.422
As 2.422 0.000 0.000
As 0.000 2.422 0.000
As 0.000 0.000 2.422
Re 0.000 0.000 0.000

***

# 28
3
Lattice="4.484 0.000 0.000 2.242 3.883 0.000 2.242 1.294 3.661" Properties=species:S:1:pos:R:3 comment="GGA-PBE ReAsCl, relaxed" crystal_system=cubic e_above_lowest_polymorph_mev_per_atom=1171 raw_formation_energy_mev_per_atom=1314 total_energy_ha_per_atom=-0.18377 pbc="T T T"
Re 4.484 2.589 1.831
Cl 0.000 0.000 0.000
As 6.726 3.883 2.746

***

# 29
4
Lattice="-1.169 0.145 4.450 2.685 -4.225 -1.416 3.268 0.416 1.089" Properties=species:S:1:pos:R:3 comment="GGA-PBE ReAsCl2, relaxed" crystal_system=monoclinic e_above_lowest_polymorph_mev_per_atom=940 raw_formation_energy_mev_per_atom=851 total_energy_ha_per_atom=-0.15974 pbc="T T T"
As 0.758 -2.040 1.517
Cl 0.000 0.000 0.000
Cl 1.050 0.280 2.769
Re 2.977 -1.905 -0.163

***

# 30
4
Lattice="-2.323 -0.906 -1.642 2.687 0.463 -1.217 2.074 -8.058 1.513" Properties=species:S:1:pos:R:3 comment="GGA-PBE Re2AsCl, relaxed" crystal_system=orthorhombic e_above_lowest_polymorph_mev_per_atom=890 raw_formation_energy_mev_per_atom=889 total_energy_ha_per_atom=-0.25574 pbc="T T T"
As 0.700 -2.236 -1.051
Re 0.027 -0.104 0.020
Re 1.010 -3.925 0.737
Cl 1.737 -6.265 -0.295